Compound: MgScBePt
Source: the Alexandria database
Functional: PBE
Structure: optimized geometry

```
MgScBePt
1.0
4.504 0.000 0.000
2.252 3.900 0.000
2.252 1.300 3.677
Pt Sc Mg Be
1 1 1 1
Cartesian
4.504 2.600 1.839
2.252 1.300 0.919
6.756 3.900 2.758
0.000 0.000 0.000
```

Summary:
- D(E_F): 2.3 states/eV per cell
- Calculated total energy: -4.952 eV per atom
- Crystal system: cubic

Compound: Th2Be2CrN6
Source: the Alexandria database
Functional: PBE
Structure: optimized geometry

```
Th2Be2CrN6
1.0
-5.016 1.882 0.081
-2.869 0.176 -4.522
-4.284 -3.764 -0.604
Be N Th Cr
2 6 2 1
Cartesian
-5.701 0.177 -2.726
-6.467 -1.883 -2.320
-4.446 -0.343 -3.542
-6.625 -2.235 -3.858
-7.723 -1.362 -1.503
-5.157 -2.325 -1.544
-7.012 0.620 -3.501
-5.544 0.530 -1.188
-3.162 -0.747 -1.198
-9.007 -0.958 -3.847
0.000 0.000 0.000
```

Summary:
- D(E_F): 5.4 states/eV per cell
- Calculated total energy: -8.232 eV per atom
- Crystal system: trigonal

Compound: ScCr2Sb
Source: the Alexandria database
Functional: PBE
Structure: optimized geometry

```
ScCr2Sb
1.0
9.219 -0.003 -0.002
8.677 3.115 -0.002
8.677 1.509 2.725
Cr Sb Sc
2 1 1
Cartesian
13.311 2.314 1.363
26.550 4.616 2.719
6.643 1.155 0.680
19.930 3.465 2.041
```

Summary:
- D(E_F): 3.2 states/eV per cell
- Calculated total energy: -6.934 eV per atom
- Crystal system: trigonal

Compound: La2InBr
Source: the Alexandria database
Functional: PBE
Structure: optimized geometry

```
La2InBr
1.0
-1.866 3.255 -0.103
-1.475 -0.953 -3.316
-8.035 -4.453 4.855
La Br In
2 1 1
Cartesian
-7.897 -4.376 4.771
-3.942 -0.108 -0.338
-3.579 -1.983 2.162
-8.014 -2.364 2.122
```

Summary:
- D(E_F): 6.6 states/eV per cell
- Energy relative to the lowest polymorph listed for this composition: 0.345 eV/atom
- Calculated total energy: -4.105 eV per atom
- Crystal system: tetragonal

Compound: CeMg14Fe
Source: the Alexandria database
Functional: PBE
Structure: optimized geometry

```
CeMg14Fe
1.0
-5.598 1.827 -2.776
5.329 -1.813 -3.271
-3.265 -9.817 0.123
Mg Fe Ce
14 1 1
Cartesian
-1.805 -7.631 -4.497
-1.669 -7.638 -1.443
-3.073 -2.070 -2.898
-1.075 0.301 -4.471
-0.942 0.295 -1.497
-2.536 -4.665 -4.485
2.720 -3.526 -3.159
-2.397 -4.672 -1.376
1.001 -8.694 -3.094
-0.175 -2.729 -4.558
-3.716 1.200 -2.861
1.690 -0.601 -3.106
-0.039 -2.736 -1.504
-4.508 -6.385 -2.844
-5.475 -3.666 -2.794
0.253 -5.575 -3.054
```

Summary:
- D(E_F): 12.8 states/eV per cell
- Energy relative to the lowest polymorph listed for this composition: 0.000 eV/atom
- Calculated total energy: -2.206 eV per atom
- Crystal system: orthorhombic

Compound: AlCrOs3
Source: the Alexandria database
Functional: PBE
Structure: optimized geometry

```
AlCrOs3
1.0
4.429 0.000 0.000
0.000 4.429 0.000
0.000 0.000 4.429
Cr Os Al
1 3 1
Cartesian
0.000 0.000 0.000
0.000 0.000 2.214
0.000 2.214 0.000
2.214 0.000 0.000
2.214 2.214 2.214
```

Summary:
- D(E_F): 6.3 states/eV per cell
- Energy relative to the lowest polymorph listed for this composition: 0.000 eV/atom
- Calculated total energy: -7.882 eV per atom
- Crystal system: cubic

Compound: Sr2LiAl3Ge4
Source: the Alexandria database
Functional: PBE
Structure: optimized geometry

```
Sr2LiAl3Ge4
1.0
-0.526 -3.307 3.149
3.849 1.386 2.098
-5.516 6.453 5.856
Al Ge Sr Li
3 4 2 1
Cartesian
-2.758 3.227 2.928
-5.095 4.000 6.705
1.240 1.493 1.775
1.661 -0.961 2.624
-3.748 2.424 5.275
0.000 0.000 0.000
-0.106 3.068 3.205
-1.628 -0.057 3.024
-2.227 5.550 5.456
-1.096 2.266 5.552
```

Summary:
- D(E_F): 3.1 states/eV per cell
- Calculated total energy: -3.890 eV per atom
- Crystal system: tetragonal

Compound: K2ThMnS4
Source: the Alexandria database
Functional: PBE
Structure: optimized geometry

```
K2ThMnS4
1.0
-4.691 0.588 -6.888
3.010 -7.335 -2.634
-3.533 0.674 7.650
S K Mn Th
8 4 2 2
Cartesian
-0.621 -4.771 0.134
-0.456 -1.780 -1.976
-4.757 -4.292 0.104
-3.303 -4.570 -3.045
-2.986 -1.474 -5.920
-4.592 -1.302 -2.006
-2.227 -4.599 4.047
-1.910 -1.503 1.173
-0.840 -3.373 -4.761
-4.112 0.631 0.381
-2.345 0.294 -3.444
-1.766 0.337 3.825
-2.607 -3.036 -0.936
-5.213 -6.073 -1.872
-0.261 -3.330 2.508
-2.028 -2.993 6.333
```

Summary:
- Calculated total energy: -5.741 eV per atom
- Crystal system: orthorhombic

Compound: SrTcHgC2
Source: the Alexandria database
Functional: PBE
Structure: optimized geometry

```
SrTcHgC2
1.0
-0.731 -2.398 -3.331
-1.801 -3.819 3.145
-3.848 1.576 -0.290
Sr Hg Tc C
1 1 1 2
Cartesian
-3.190 -2.320 -0.238
-0.901 -1.909 1.572
0.000 0.000 0.000
-1.924 0.788 -0.145
-0.366 -1.199 -1.665
```

Summary:
- D(E_F): 2.9 states/eV per cell
- Calculated total energy: -5.267 eV per atom
- Crystal system: tetragonal

Compound: Tm3ScBi2C
Source: the Alexandria database
Functional: PBE
Structure: optimized geometry

```
Tm3ScBi2C
1.0
-0.192 -4.564 0.281
1.409 0.222 4.553
-8.156 2.631 -0.104
Tm Bi C Sc
3 2 1 1
Cartesian
0.704 0.111 2.277
-2.291 0.139 0.702
-4.648 -1.851 4.028
-5.357 0.326 1.642
-1.582 -2.038 3.089
0.000 0.000 0.000
-0.096 -2.282 0.141
```

Summary:
- D(E_F): 6.2 states/eV per cell
- Calculated total energy: -5.914 eV per atom
- Crystal system: orthorhombic

Compound: K8Rb3Na3
Source: the Alexandria database
Functional: PBE
Structure: optimized geometry

```
K8Rb3Na3
1.0
6.886 0.000 1.816
2.267 11.536 5.366
0.405 0.154 12.426
K Rb Na
8 3 3
Cartesian
6.819 11.074 16.028
4.462 3.892 11.006
5.096 7.798 8.603
7.279 4.716 14.286
2.278 6.974 5.322
1.607 1.780 7.867
7.950 9.911 11.742
2.738 0.616 3.581
0.000 0.000 0.000
3.858 8.246 13.293
5.699 3.445 6.315
1.336 5.845 8.896
6.578 7.386 16.942
2.979 4.304 2.666
```

Summary:
- D(E_F): 9.8 states/eV per cell
- Calculated total energy: -1.080 eV per atom
- Crystal system: monoclinic

Compound: ScZn6Pd2
Source: the Alexandria database
Functional: PBE
Structure: optimized geometry

```
ScZn6Pd2
1.0
3.051 0.000 0.000
1.526 7.291 1.241
1.526 2.656 6.903
Zn Pd Sc
6 2 1
Cartesian
3.051 5.231 7.310
3.051 4.716 0.834
3.051 4.188 5.031
3.051 5.759 3.113
3.051 8.199 3.685
3.051 1.748 4.459
4.577 6.417 5.254
1.526 3.530 2.890
0.000 0.000 0.000
```

Summary:
- D(E_F): 5.2 states/eV per cell
- Calculated total energy: -3.006 eV per atom
- Crystal system: orthorhombic